Fe2TcBiSb | PBE-GGA | optimized geometry

Calculated values
- N(E_F): 4.802 states/eV/cell
- Space-group type: P4/mmm, No. 123
- Raw formation energy: 1.630 eV per atom
- Calculated volume: 23.85 Å³ per atom

abc: 4.824 5.124 4.824
angles: 90.00 90.00 90.00
Site moments in Bohr magnetons follow the coordinates.
Sites, in units of the cell vectors:
Bi  0.000  0.000  0.000  -0.16
Sb  0.500  0.500  0.500  -0.08
Fe  0.500  0.000  0.000  2.60
Fe  0.000  0.000  0.500  2.47
Tc  0.000  0.500  0.000  1.62

=====

Fe2TcBiSb | PBE-GGA | optimized geometry

Calculated values
- N(E_F): 6.123 states/eV/cell
- Space-group type: P4/mmm, No. 123
- Raw formation energy: 1.961 eV per atom
- Calculated volume: 27.75 Å³ per atom

abc: 4.818 5.977 4.818
angles: 90.00 90.00 90.00
Site moments in Bohr magnetons follow the coordinates.
Sites, in units of the cell vectors:
Bi  0.000  0.000  0.000  0.11
Tc  0.500  0.500  0.500  3.48
Fe  0.500  0.000  0.000  -2.78
Fe  0.000  0.000  0.500  -2.62
Sb  0.000  0.500  0.000  -0.08

=====

FeBiSbTe2 | PBE-GGA | optimized geometry

Calculated values
- N(E_F): 4.981 states/eV/cell
- Space-group type: P4/mmm, No. 123
- Raw formation energy: 0.331 eV per atom
- Calculated volume: 26.14 Å³ per atom

abc: 5.161 5.161 4.908
angles: 90.00 90.00 90.00
Site moments in Bohr magnetons follow the coordinates.
Sites, in units of the cell vectors:
Te  0.000  0.500  0.000  0.09
Bi  0.500  0.500  0.500  -0.13
Te  0.500  0.000  0.000  0.09
Fe  0.000  0.000  0.000  1.94
Sb  0.000  0.000  0.500  -0.01

=====

Question: Among the records above, which one has the highest raw formation energy?
Answer: number 2

=====

Question: Which of these has the highest N(E_F)?
Answer: number 2